Computed, not measured: crystalline CoGeB at its relaxed geometry at the PBE level of DFT.

## Properties
Calculated volume   10.90 Å³/atom
Energy above the lowest structure with this stoichiometry   0.000 eV per atom
DFT total energy   -5.87 eV per atom

Geometry as POSCAR:
```
CoGeB
1.0
0.0000 2.5382 2.5382
2.5382 0.0000 2.5382
2.5382 2.5382 0.0000
Co Ge B
1 1 1
Direct
0.7500 0.7500 0.7500
0.2500 0.2500 0.2500
0.0000 0.0000 0.0000
```